## Al2PRh (GGA-PBE)

Data for crystalline Al2PRh at its relaxed geometry.

Magnetization in μB/f.u.: 0.0
Electronic total energy in eV/atom: -5.162
Energy of formation in eV per atom: -0.100
ρ in g/cm³: 3.68

a b c (Å): 5.614 5.614 10.760
angles (deg): 90.00 90.00 90.00
Space group I-42d (No. 122)
Unique sites:
Al1 0.246 0.250 0.125 x8
P1 0.000 0.000 0.000 x4
Rh1 0.000 0.000 0.500 x4